Entry 1:
First-principles (PBE) data for a relaxed structure of ThCdSnPt, as listed in Alexandria via LeMat-Bulk.

Computed properties:
E ... -5.11 eV per atom
Crystal system ... cubic
Size of the total moment ... 0.000 μB per atom

a = 5.083 Å, b = 5.083 Å, c = 5.083 Å
α = 60.00°, β = 60.00°, γ = 60.00°
Positions (direct):
Cd1 0.250 0.250 0.250
Pt1 0.750 0.750 0.750
Th1 0.000 0.000 0.000
Sn1 0.500 0.500 0.500

Entry 2:
First-principles (PBE) data for a relaxed structure of TlCdSn2Pt, as listed in Alexandria via LeMat-Bulk.

Computed properties:
E ... -2.73 eV per atom
Crystal system ... tetragonal
Size of the total moment ... 0.000 μB per atom

a = 5.685 Å, b = 5.124 Å, c = 5.685 Å
α = 90.00°, β = 90.00°, γ = 90.00°
Positions (direct):
Tl1 0.000 0.000 0.000
Sn1 0.000 0.000 0.500
Cd1 0.500 0.500 0.500
Sn2 0.500 0.000 0.000
Pt1 0.000 0.500 0.000

Entry 3:
First-principles (PBE) data for a relaxed structure of TlCd2SnPt, as listed in Alexandria via LeMat-Bulk.

Computed properties:
E ... -2.95 eV per atom
Crystal system ... tetragonal
Size of the total moment ... 0.000 μB per atom

a = 5.299 Å, b = 5.299 Å, c = 5.088 Å
α = 90.00°, β = 90.00°, γ = 90.00°
Positions (direct):
Sn1 0.000 0.000 0.500
Cd1 0.500 0.000 0.000
Cd2 0.000 0.500 0.000
Pt1 0.000 0.000 0.000
Tl1 0.500 0.500 0.500

Entry 4:
First-principles (PBE) data for a relaxed structure of YCdSnPt, as listed in Alexandria via LeMat-Bulk.

Computed properties:
E ... -4.94 eV per atom
Crystal system ... cubic
Size of the total moment ... 0.000 μB per atom

a = 4.969 Å, b = 4.969 Å, c = 4.969 Å
α = 60.00°, β = 60.00°, γ = 60.00°
Positions (direct):
Y1 0.500 0.500 0.500
Cd1 0.250 0.250 0.250
Pt1 0.750 0.750 0.750
Sn1 0.000 0.000 0.000

no.,theoretical density (g/cm3),energy of formation (eV per atom)
1,11.768,-0.52
2,7.514,0.74
3,8.636,-0.10
4,9.862,-0.59